# Mn2Tl2Mo3O12

An optimized crystal structure of Mn2Tl2Mo3O12 (GGA+U, Alexandria via LeMat-Bulk).

abc: 11.2131 11.2131 11.2131
angles: 90.00 90.00 90.00
Closest atoms and distances in Å follow each position.
Element x y z (fractional)
Mn 0.1604 0.6604 0.8396  6 O 2.14-2.15
Mn 0.3396 0.3396 0.3396  6 O 2.14-2.15
Mn 0.8396 0.1604 0.6604  6 O 2.14-2.15
Mn 0.1127 0.8873 0.3873  6 O 2.18-2.22
Mn 0.6604 0.8396 0.1604  6 O 2.14-2.15
Mn 0.8873 0.3873 0.1127  6 O 2.18-2.22
Mn 0.6127 0.6127 0.6127  6 O 2.18-2.22
Mn 0.3873 0.1127 0.8873  6 O 2.18-2.22
O 0.5287 0.4456 0.6782  1 Mo 1.81
O 0.2576 0.3986 0.1774  1 Mo 1.79
O 0.7576 0.1014 0.8226  1 Mo 1.79
O 0.7195 0.9795 0.0427  1 Mo 1.79
O 0.3986 0.1774 0.2576  1 Mo 1.79
O 0.2805 0.4795 0.4573  1 Mo 1.79
O 0.4476 0.2008 0.7252  1 Mo 1.79
O 0.5524 0.7008 0.7748  1 Mo 1.79
O 0.3226 0.7424 0.8986  1 Mo 1.79
O 0.3218 0.0287 0.0544  1 Mo 1.81
O 0.0287 0.0544 0.3218  1 Mo 1.81
O 0.2992 0.2748 0.9476  1 Mo 1.79
O 0.7424 0.8986 0.3226  1 Mo 1.79
O 0.7992 0.2252 0.0524  1 Mo 1.79
O 0.8986 0.3226 0.7424  1 Mo 1.79
O 0.6782 0.5287 0.4456  1 Mo 1.81
O 0.2008 0.7252 0.4476  1 Mo 1.79
O 0.5544 0.1782 0.9713  1 Mo 1.81
O 0.6774 0.2424 0.6014  1 Mo 1.79
O 0.0427 0.7195 0.9795  1 Mo 1.79
O 0.7748 0.5524 0.7008  1 Mo 1.79
O 0.4573 0.2805 0.4795  1 Mo 1.79
O 0.8226 0.7576 0.1014  1 Mo 1.79
O 0.2424 0.6014 0.6774  1 Mo 1.79
O 0.2195 0.5205 0.9573  1 Mo 1.79
O 0.0544 0.3218 0.0287  1 Mo 1.81
O 0.9573 0.2195 0.5205  1 Mo 1.79
O 0.9713 0.5544 0.1782  1 Mo 1.81
O 0.6014 0.6774 0.2424  1 Mo 1.79
O 0.5205 0.9573 0.2195  1 Mo 1.79
O 0.7008 0.7748 0.5524  1 Mo 1.79
O 0.4795 0.4573 0.2805  1 Mo 1.79
O 0.9795 0.0427 0.7195  1 Mo 1.79
O 0.1782 0.9713 0.5544  1 Mo 1.81
O 0.4713 0.9456 0.8218  1 Mo 1.81
O 0.2748 0.9476 0.2992  1 Mo 1.79
O 0.1774 0.2576 0.3986  1 Mo 1.79
O 0.9476 0.2992 0.2748  1 Mo 1.79
O 0.0524 0.7992 0.2252  1 Mo 1.79
O 0.7805 0.0205 0.5427  1 Mo 1.79
O 0.4456 0.6782 0.5287  1 Mo 1.81
O 0.2252 0.0524 0.7992  1 Mo 1.79
O 0.9456 0.8218 0.4713  1 Mo 1.81
O 0.8218 0.4713 0.9456  1 Mo 1.81
O 0.7252 0.4476 0.2008  1 Mo 1.79
O 0.0205 0.5427 0.7805  1 Mo 1.79
O 0.5427 0.7805 0.0205  1 Mo 1.79
O 0.1014 0.8226 0.7576  1 Mo 1.79
Mo 0.9723 0.7062 0.1224  4 O 1.79-1.81
Mo 0.2938 0.6224 0.5277  4 O 1.79-1.81
Mo 0.0277 0.2062 0.3776  4 O 1.79-1.81
Mo 0.1224 0.9723 0.7062  4 O 1.79-1.81
Mo 0.6224 0.5277 0.2938  4 O 1.79-1.81
Mo 0.5277 0.2938 0.6224  4 O 1.79-1.81
Mo 0.3776 0.0277 0.2062  4 O 1.79-1.81
Mo 0.7938 0.8776 0.4723  4 O 1.79-1.81
Mo 0.8776 0.4723 0.7938  4 O 1.79-1.81
Mo 0.4723 0.7938 0.8776  4 O 1.79-1.81
Mo 0.2062 0.3776 0.0277  4 O 1.79-1.81
Mo 0.7062 0.1224 0.9723  4 O 1.79-1.81
Tl 0.1590 0.3410 0.6590  6 O 3.06-3.07
Tl 0.8410 0.8410 0.8410  6 O 3.06-3.07
Tl 0.9357 0.5643 0.4357  3 O 2.92
Tl 0.6590 0.1590 0.3410  6 O 3.06-3.07
Tl 0.3410 0.6590 0.1590  6 O 3.06-3.07
Tl 0.5643 0.4357 0.9357  3 O 2.92
Tl 0.4357 0.9357 0.5643  3 O 2.92
Tl 0.0643 0.0643 0.0643  3 O 2.92

Properties
DFT total energy in eV per cell: -521.235
Volume in Å³/atom: 18.55